Material: KTl2CdBr8
Method: DFT, GGA-PBE
State: relaxed

Structure (POSCAR):
```
KTl2CdBr8
1.0
-2.3081 5.8600 3.5925
-4.0794 -5.9921 -0.1638
4.4587 -3.2590 8.1806
Br Cd Tl K
8 1 2 1
direct
0.3221 0.0310 0.6728
0.3333 0.6667 0.0129
0.2911 0.3221 0.3272
0.6779 0.9690 0.3272
0.6667 0.3333 0.9871
0.0310 0.7089 0.3272
0.9690 0.2911 0.6728
0.7089 0.6779 0.6728
0.0000 0.0000 0.5000
0.3333 0.6667 0.7423
0.6667 0.3333 0.2577
0.0000 0.0000 0.0000
```

raw formation energy = -0.729 eV per atom

---

Material: Pm12DyPb7
Method: DFT, GGA-PBE
State: relaxed

Structure (POSCAR):
```
Pm12DyPb7
1.0
9.6044 -0.4316 -0.6478
-3.0852 9.1056 -0.6478
-3.0852 -4.1049 8.1536
Dy Pb Pm
1 7 12
direct
0.0000 0.0000 0.0000
0.8660 0.5620 0.8661
0.1340 0.4380 0.1339
0.5620 0.8661 0.8660
0.5000 0.5000 0.5000
0.8661 0.8660 0.5620
0.1339 0.1340 0.4380
0.4380 0.1339 0.1340
0.0001 0.7234 0.2767
0.1615 0.4972 0.4972
0.2766 0.7233 0.9999
0.5028 0.8385 0.5028
0.5028 0.5028 0.8385
0.8385 0.5028 0.5028
0.4972 0.1615 0.4972
0.4972 0.4972 0.1615
0.7233 0.9999 0.2766
0.9999 0.2766 0.7233
0.2767 0.0001 0.7234
0.7234 0.2767 0.0001
```

ΔH_f (0 K) = -5.7 eV/f.u.

---

no.,density of states at the Fermi level (states/eV per cell),total magnetic moment (μB/cell)
1,7.2,0.001
2,23.5,0.003